Entry 1:
Entry from Alexandria via LeMat-Bulk: a crystal of BaTl2Tc relaxed with PBEsol (SCAN).

Lattice parameters (Å, degrees): 3.3391 5.7840 5.7840 113.82 90.09 90.09
Sites, in units of the cell vectors:
Tc 0.5000 0.5000 0.5000
Tl 0.0000 0.0000 0.5000
Tl 0.0000 0.5000 0.0000
Ba 0.5000 0.0000 0.0000

Output
Symmetry: C2/m (12)
Offset from the most stable computed form in eV/f.u.: 0.91

---

Entry 2:
Entry from Alexandria via LeMat-Bulk: a crystal of LaNbPS2 relaxed with PBEsol (SCAN).

Lattice parameters (Å, degrees): 5.2668 5.2668 5.1671 90.00 90.00 90.00
Sites, in units of the cell vectors:
La 0.0000 0.0000 0.0000
S 0.0000 0.5000 0.0000
P 0.0000 0.0000 0.5000
S 0.5000 0.0000 0.0000
Nb 0.5000 0.5000 0.5000

Output
Symmetry: P4/mmm (123)
Formation energy without anion corrections in eV/atom: 0.485

---

Entry 3:
Entry from Alexandria via LeMat-Bulk: a crystal of LaCd2In relaxed with PBEsol (SCAN).

Lattice parameters (Å, degrees): 5.1808 5.1813 5.1813 60.02 60.00 60.00
Sites, in units of the cell vectors:
Cd 0.0001 0.9999 0.9999
In 0.4999 0.5001 0.5001
La 0.2501 0.2499 0.2499
Cd 0.7499 0.7501 0.7501

Output
Symmetry: F-43m (216)

---

Entry 4:
Entry from Alexandria via LeMat-Bulk: a crystal of BaLi4Hg relaxed with PBEsol (SCAN).

Lattice parameters (Å, degrees): 5.7803 5.7803 5.7803 60.00 60.00 60.00
Sites, in units of the cell vectors:
Li 0.8853 0.3716 0.3716
Hg 0.0000 0.0000 0.0000
Li 0.3716 0.3716 0.8853
Li 0.3716 0.3716 0.3716
Li 0.3716 0.8853 0.3716
Ba 0.7500 0.7500 0.7500

Output
Symmetry: F-43m (216)

---

Uncorrected energy
In order: -54.1872; -20.6927; -34.7308; -19.7020
Unit: eV per atom